[1]
The following is a PBE calculation of Nd2Cd3Au4 after structural relaxation, from Alexandria.

Energy relative to the elements = -0.55 eV per atom
Mass density = 11.39 g/cm³
Crystal system = triclinic

Cell: 4.8810 4.8870 9.9728 Å, 89.74 89.93 60.07°
Atoms (fractional coordinates):
Nd: 0.1672 0.1650 0.2211
Nd: 0.8328 0.8350 0.7789
Cd: 0.1659 0.1692 0.5784
Cd: 0.5000 0.5000 0.0000
Cd: 0.8341 0.8308 0.4216
Au: 0.1663 0.1675 0.9123
Au: 0.4990 0.5034 0.6422
Au: 0.5010 0.4966 0.3578
Au: 0.8337 0.8325 0.0877


[2]
The following is a PBE calculation of NdCd2Au after structural relaxation, from Alexandria.

Energy relative to the elements = 0.11 eV per atom
Mass density = 9.07 g/cm³
Crystal system = trigonal

Cell: 3.3388 3.3388 32.1955 Å, 90.00 90.00 120.00°
Atoms (fractional coordinates):
Nd: 0.0000 0.0000 0.0000
Nd: 0.3333 0.6667 0.6667
Nd: 0.6667 0.3333 0.3333
Cd: 0.0000 0.0000 0.0989
Cd: 0.0000 0.0000 0.9011
Cd: 0.3333 0.6667 0.5677
Cd: 0.3333 0.6667 0.7656
Cd: 0.6667 0.3333 0.2344
Cd: 0.6667 0.3333 0.4323
Au: 0.0000 0.0000 0.5000
Au: 0.3333 0.6667 0.1667
Au: 0.6667 0.3333 0.8333